[1]
# CrCu3H | the Alexandria database | SCAN | single point on PBEsol structure
# Calculated total energy ... -13.2495 eV/atom
# D(E_F) ... 1.9 states/eV/cell
data_CrCu3H
_chemical_formula_sum 'Cr1 Cu3 H1'
_cell_length_a 3.725
_cell_length_b 3.725
_cell_length_c 3.725
_cell_angle_alpha 90.00
_cell_angle_beta 90.00
_cell_angle_gamma 90.00
_symmetry_space_group_name_H-M 'P m -3 m'
_symmetry_Int_Tables_number 221
_symmetry_space_group_name_Hall '-P 4 2 3'
loop_
_atom_site_label
_atom_site_type_symbol
_atom_site_fract_x
_atom_site_fract_y
_atom_site_fract_z
Cr1 Cr 0.000 0.000 0.000
Cu1 Cu 0.000 0.500 0.500
H1 H 0.500 0.500 0.500

[2]
# Na2GePt2 | the Alexandria database | SCAN | single point on PBEsol structure
# Calculated total energy ... -34.0487 eV/atom
# Energy relative to the elements ... -0.468 eV/atom
# D(E_F) ... 4.1 states/eV/cell
data_Na2GePt2
_chemical_formula_sum 'Na4 Ge2 Pt4'
_cell_length_a 6.282
_cell_length_b 6.282
_cell_length_c 4.910
_cell_angle_alpha 90.00
_cell_angle_beta 90.00
_cell_angle_gamma 90.00
_symmetry_space_group_name_H-M 'P 4/m b m'
_symmetry_Int_Tables_number 127
_symmetry_space_group_name_Hall '-P 4 2ab'
loop_
_atom_site_label
_atom_site_type_symbol
_atom_site_fract_x
_atom_site_fract_y
_atom_site_fract_z
Na1 Na 0.168 0.332 0.000
Ge1 Ge 0.000 0.000 0.500
Pt1 Pt 0.147 0.647 0.500

[3]
# ScTa2Mo | the Alexandria database | SCAN | single point on PBEsol structure
# Energy above the lowest structure with this stoichiometry ... 0.004 eV/atom
# Calculated total energy ... -45.4837 eV/atom
# Energy relative to the elements ... 0.089 eV/atom
# D(E_F) ... 7.7 states/eV/cell
data_ScTa2Mo
_chemical_formula_sum 'Sc2 Ta4 Mo2'
_cell_length_a 3.244
_cell_length_b 4.695
_cell_length_c 9.291
_cell_angle_alpha 90.00
_cell_angle_beta 90.00
_cell_angle_gamma 90.00
_symmetry_space_group_name_H-M 'I m m 2'
_symmetry_Int_Tables_number 44
loop_
_symmetry_equiv_pos_as_xyz
'x,y,z'
'-x,-y,z'
'-x,y,z'
'x,-y,z'
'x+1/2,y+1/2,z+1/2'
'-x+1/2,-y+1/2,z+1/2'
'-x+1/2,y+1/2,z+1/2'
'x+1/2,-y+1/2,z+1/2'
loop_
_atom_site_label
_atom_site_type_symbol
_atom_site_fract_x
_atom_site_fract_y
_atom_site_fract_z
Sc1 Sc 0.000 0.000 0.000
Ta1 Ta 0.000 0.000 0.467
Ta2 Ta 0.000 0.500 0.231
Mo1 Mo 0.000 0.500 0.746

[4]
# Zn2SiTe | the Alexandria database | SCAN | single point on PBEsol structure
# Energy above the lowest structure with this stoichiometry ... 0.359 eV/atom
# Calculated total energy ... -18.0150 eV/atom
# D(E_F) ... 8.2 states/eV/cell
data_Zn2SiTe
_chemical_formula_sum 'Zn8 Si4 Te4'
_cell_length_a 6.690
_cell_length_b 6.690
_cell_length_c 6.690
_cell_angle_alpha 90.00
_cell_angle_beta 90.00
_cell_angle_gamma 90.00
_symmetry_space_group_name_H-M 'F m -3 m'
_symmetry_Int_Tables_number 225
_symmetry_space_group_name_Hall '-F 4 2 3'
loop_
_atom_site_label
_atom_site_type_symbol
_atom_site_fract_x
_atom_site_fract_y
_atom_site_fract_z
Zn1 Zn 0.250 0.250 0.250
Si1 Si 0.000 0.000 0.000
Te1 Te 0.000 0.000 0.500

[5]
# Sb2Cl7F3 | the Alexandria database | SCAN | single point on PBEsol structure
# Calculated total energy ... -12.9649 eV/atom
# D(E_F) ... 0.0 states/eV/cell
data_Sb2Cl7F3
_chemical_formula_sum 'Sb8 Cl28 F12'
_cell_length_a 18.751
_cell_length_b 7.515
_cell_length_c 13.218
_cell_angle_alpha 90.00
_cell_angle_beta 134.64
_cell_angle_gamma 90.00
_symmetry_space_group_name_H-M 'C 1 2 1'
_symmetry_Int_Tables_number 5
loop_
_symmetry_equiv_pos_as_xyz
'x,y,z'
'-x,y,-z'
'x+1/2,y+1/2,z'
'-x+1/2,y+1/2,-z'
loop_
_atom_site_label
_atom_site_type_symbol
_atom_site_fract_x
_atom_site_fract_y
_atom_site_fract_z
Sb1 Sb 0.049 0.000 0.331
Sb2 Sb 0.214 0.046 0.762
Cl1 Cl 0.044 0.694 0.345
Cl2 Cl 0.053 0.021 0.911
Cl3 Cl 0.152 0.332 0.689
Cl4 Cl 0.152 0.587 0.212
Cl5 Cl 0.204 0.023 0.410
Cl6 Cl 0.207 0.580 0.005
Cl7 Cl 0.223 0.737 0.769
F1 F 0.041 0.247 0.351
F2 F 0.077 0.993 0.701
F3 F 0.117 0.997 0.540

[6]
# LiInOs2 | the Alexandria database | SCAN | single point on PBEsol structure
# Calculated total energy ... -44.4471 eV/atom
# Energy relative to the elements ... 0.437 eV/atom
# D(E_F) ... 6.3 states/eV/cell
data_LiInOs2
_chemical_formula_sum 'Li2 In2 Os4'
_cell_length_a 2.937
_cell_length_b 4.543
_cell_length_c 8.995
_cell_angle_alpha 90.00
_cell_angle_beta 90.00
_cell_angle_gamma 90.00
_symmetry_space_group_name_H-M 'I m m 2'
_symmetry_Int_Tables_number 44
loop_
_symmetry_equiv_pos_as_xyz
'x,y,z'
'-x,-y,z'
'-x,y,z'
'x,-y,z'
'x+1/2,y+1/2,z+1/2'
'-x+1/2,-y+1/2,z+1/2'
'-x+1/2,y+1/2,z+1/2'
'x+1/2,-y+1/2,z+1/2'
loop_
_atom_site_label
_atom_site_type_symbol
_atom_site_fract_x
_atom_site_fract_y
_atom_site_fract_z
Li1 Li 0.000 0.000 0.000
In1 In 0.000 0.500 0.759
Os1 Os 0.000 0.000 0.522
Os2 Os 0.000 0.500 0.254

[7]
# Ba2MgAuN | the Alexandria database | SCAN | single point on PBEsol structure
# Calculated total energy ... -32.6646 eV/atom
# D(E_F) ... 4.3 states/eV/cell
data_Ba2MgAuN
_chemical_formula_sum 'Ba2 Mg1 Au1 N1'
_cell_length_a 5.798
_cell_length_b 5.798
_cell_length_c 4.066
_cell_angle_alpha 90.00
_cell_angle_beta 90.00
_cell_angle_gamma 90.00
_symmetry_space_group_name_H-M 'P 4/m m m'
_symmetry_Int_Tables_number 123
_symmetry_space_group_name_Hall '-P 4 2'
loop_
_atom_site_label
_atom_site_type_symbol
_atom_site_fract_x
_atom_site_fract_y
_atom_site_fract_z
Ba1 Ba 0.000 0.500 0.000
Mg1 Mg 0.000 0.000 0.500
Au1 Au 0.500 0.500 0.500
N1 N 0.500 0.500 0.000

[8]
# Nb3Os2 | the Alexandria database | SCAN | single point on PBEsol structure
# Calculated total energy ... -48.9616 eV/atom
# Energy relative to the elements ... -0.332 eV/atom
# D(E_F) ... 36.9 states/eV/cell
data_Nb3Os2
_chemical_formula_sum 'Nb36 Os24'
_cell_length_a 13.882
_cell_length_b 13.926
_cell_length_c 5.048
_cell_angle_alpha 90.00
_cell_angle_beta 90.00
_cell_angle_gamma 90.00
_symmetry_space_group_name_H-M 'C m m 2'
_symmetry_Int_Tables_number 35
loop_
_symmetry_equiv_pos_as_xyz
'x,y,z'
'-x,-y,z'
'-x,y,z'
'x,-y,z'
'x+1/2,y+1/2,z'
'-x+1/2,-y+1/2,z'
'-x+1/2,y+1/2,z'
'x+1/2,-y+1/2,z'
loop_
_atom_site_label
_atom_site_type_symbol
_atom_site_fract_x
_atom_site_fract_y
_atom_site_fract_z
Nb1 Nb 0.000 0.102 0.000
Nb2 Nb 0.000 0.319 0.261
Nb3 Nb 0.000 0.319 0.760
Nb4 Nb 0.105 0.500 0.515
Nb5 Nb 0.168 0.203 0.013
Nb6 Nb 0.180 0.000 0.762
Nb7 Nb 0.205 0.333 0.512
Os1 Os 0.000 0.000 0.482
Os2 Os 0.000 0.500 0.012
Os3 Os 0.095 0.160 0.509
Os4 Os 0.165 0.406 0.014
Os5 Os 0.181 0.000 0.260